VASP calculation (GGA-PBE) on a relaxed LiAu2 crystal.

Properties
The volume comes out at 100.8 Å³ per cell. As for the total DFT energy (no corrections): -3.20 eV/atom. The calculation puts the energy of formation at -1.1 eV per formula unit.

abc: 5.499 5.499 6.908
angles: 72.94 72.94 30.43
Element x y z (fractional)
Li: 0.345 0.345 0.351
Au: 0.073 0.073 0.367
Li: 0.710 0.710 0.038
Au: 0.982 0.982 0.022
Au: 0.384 0.384 0.732
Au: 0.671 0.671 0.657